Entry from Alexandria via LeMat-Bulk: a PBEsol-optimized structure of BePt2Rh (meta-GGA SCAN).

```
BePt2Rh
1.0
2.705 0.000 0.000
0.000 4.455 0.000
0.000 0.000 4.455
Be Rh Pt
1 1 2
direct
0.500 0.000 0.000
0.500 0.500 0.500
0.000 0.000 0.500
0.000 0.500 0.000
```

Computed properties:
- theoretical density (g/cm³) = 15.5
- energy of formation (eV/atom) = -0.25
- spin magnetization (μB per cell) = 0.0
- electronic total energy (eV/atom) = -44.877


Entry from Alexandria via LeMat-Bulk: a PBEsol-optimized structure of TaTl2Si (meta-GGA SCAN).

```
TaTl2Si
1.0
-2.150 -1.446 1.640
1.334 -4.495 -1.699
3.831 2.461 4.067
Si Ta Tl
1 1 2
direct
0.500 0.000 0.000
0.000 0.500 0.000
0.000 0.000 0.500
0.500 0.500 0.500
```

Computed properties:
- theoretical density (g/cm³) = 12.6
- spin magnetization (μB per cell) = 0.0
- electronic total energy (eV/atom) = -54.614


Entry from Alexandria via LeMat-Bulk: a PBEsol-optimized structure of InRh3 (meta-GGA SCAN).

```
InRh3
1.0
2.848 0.000 0.000
-1.424 2.466 0.000
0.000 0.000 8.546
In Rh
1 3
direct
0.000 0.000 0.000
0.000 0.000 0.500
0.333 0.667 0.743
0.333 0.667 0.257
```

Computed properties:
- theoretical density (g/cm³) = 11.7
- energy of formation (eV/atom) = 0.09
- spin magnetization (μB per cell) = 0.0
- electronic total energy (eV/atom) = -33.587


Entry from Alexandria via LeMat-Bulk: a PBEsol-optimized structure of MnSi2Ru (meta-GGA SCAN).

```
MnSi2Ru
1.0
-2.601 0.847 0.313
-2.052 -1.376 -1.216
-2.242 -4.568 5.839
Mn Ru Si
1 1 2
direct
0.496 0.496 0.511
0.251 0.251 0.247
0.998 0.998 0.006
0.755 0.755 0.736
```

Computed properties:
- theoretical density (g/cm³) = 7.1
- spin magnetization (μB per cell) = 2.4
- electronic total energy (eV/atom) = -18.334


Entry from Alexandria via LeMat-Bulk: a PBEsol-optimized structure of CuHg2W (meta-GGA SCAN).

```
CuHg2W
1.0
2.799 0.000 0.000
-1.400 4.867 -0.022
0.000 -1.416 4.991
Cu Hg W
1 2 1
direct
0.500 0.000 0.000
0.764 0.528 0.758
0.236 0.472 0.242
0.000 0.000 0.500
```

Computed properties:
- theoretical density (g/cm³) = 15.9
- energy of formation (eV/atom) = 0.79
- spin magnetization (μB per cell) = 0.7
- electronic total energy (eV/atom) = -54.520


Entry from Alexandria via LeMat-Bulk: a PBEsol-optimized structure of Cs3InSb (meta-GGA SCAN).

```
Cs3InSb
1.0
6.821 0.000 0.000
0.000 6.821 0.000
0.000 0.000 6.821
Cs Sb In
3 1 1
direct
0.000 0.500 0.000
0.000 0.000 0.500
0.500 0.000 0.000
0.500 0.500 0.500
0.000 0.000 0.000
```

Computed properties:
- theoretical density (g/cm³) = 3.3
- spin magnetization (μB per cell) = 1.8
- electronic total energy (eV/atom) = -36.546


Entry from Alexandria via LeMat-Bulk: a PBEsol-optimized structure of ScTe2Ir (meta-GGA SCAN).

```
ScTe2Ir
1.0
-0.788 -0.147 3.092
-0.207 -4.028 -0.245
7.544 -0.404 0.261
Ir Sc Te
1 1 2
direct
0.719 0.000 0.562
0.284 0.500 0.693
0.896 0.000 0.919
0.601 0.500 0.326
```

Computed properties:
- theoretical density (g/cm³) = 8.6
- spin magnetization (μB per cell) = 0.0
- electronic total energy (eV/atom) = -40.677


Entry from Alexandria via LeMat-Bulk: a PBEsol-optimized structure of PRhSe2Br (meta-GGA SCAN).

```
PRhSe2Br
1.0
-3.203 -1.460 3.204
-3.151 -0.746 -3.490
1.605 -4.562 -0.474
P Rh Se Br
1 1 2 1
direct
0.500 0.500 0.500
0.000 0.000 0.000
0.000 0.500 0.000
0.500 0.000 0.000
0.000 0.000 0.500
```

Computed properties:
- theoretical density (g/cm³) = 5.6
- spin magnetization (μB per cell) = 0.0
- electronic total energy (eV/atom) = -20.040


Entry from Alexandria via LeMat-Bulk: a PBEsol-optimized structure of RbBO2F (meta-GGA SCAN).

```
RbBO2F
1.0
4.372 0.000 0.000
0.000 4.372 0.000
0.000 0.000 4.913
B O Rb F
1 2 1 1
direct
0.500 0.500 0.500
0.000 0.500 0.000
0.500 0.000 0.000
0.000 0.000 0.000
0.000 0.000 0.500
```

Computed properties:
- theoretical density (g/cm³) = 2.6
- spin magnetization (μB per cell) = 1.3
- electronic total energy (eV/atom) = -7.490


Entry from Alexandria via LeMat-Bulk: a PBEsol-optimized structure of UCl6 (meta-GGA SCAN).

```
UCl6
1.0
-3.447 1.321 4.899
-6.626 -8.659 -2.328
8.868 -1.387 6.613
U Cl
3 18
direct
0.472 0.333 0.667
0.528 0.667 0.333
0.000 0.000 0.000
0.297 0.770 0.540
0.297 0.770 0.230
0.297 0.460 0.230
0.770 0.897 0.793
0.770 0.897 0.103
0.770 0.207 0.103
0.230 0.793 0.897
0.230 0.103 0.897
0.230 0.103 0.207
0.759 0.563 0.127
0.759 0.563 0.437
0.759 0.873 0.437
0.241 0.127 0.563
0.241 0.437 0.563
0.241 0.437 0.873
0.703 0.230 0.460
0.703 0.230 0.770
0.703 0.540 0.770
```

Computed properties:
- theoretical density (g/cm³) = 3.4
- spin magnetization (μB per cell) = 0.0
- electronic total energy (eV/atom) = -23.220


Entry from Alexandria via LeMat-Bulk: a PBEsol-optimized structure of La2GeBrN (meta-GGA SCAN).

```
La2GeBrN
1.0
4.258 0.000 0.000
0.000 5.156 0.000
0.000 0.000 5.156
Ge N Br La
1 1 1 2
direct
0.500 0.500 0.500
0.000 0.000 0.000
0.500 0.000 0.000
0.000 0.000 0.500
0.000 0.500 0.000
```

Computed properties:
- theoretical density (g/cm³) = 6.5
- spin magnetization (μB per cell) = 0.0
- electronic total energy (eV/atom) = -27.449


Entry from Alexandria via LeMat-Bulk: a PBEsol-optimized structure of ZrFe2OsRu (meta-GGA SCAN).

```
ZrFe2OsRu
1.0
-2.760 2.992 -1.452
0.876 -1.166 -4.069
-3.523 -3.177 0.152
Ru Os Fe Zr
1 1 2 1
direct
0.500 0.500 0.500
0.000 0.000 0.500
0.000 0.500 0.000
0.500 0.000 0.000
0.000 0.000 0.000
```

Computed properties:
- theoretical density (g/cm³) = 9.3
- energy of formation (eV/atom) = 2.13
- spin magnetization (μB per cell) = 7.3
- electronic total energy (eV/atom) = -32.606


Entry from Alexandria via LeMat-Bulk: a PBEsol-optimized structure of TiBe3H (meta-GGA SCAN).

```
TiBe3H
1.0
3.511 0.000 0.000
0.000 3.511 0.000
0.000 0.000 3.511
Be Ti H
3 1 1
direct
0.000 0.500 0.000
0.000 0.000 0.500
0.500 0.000 0.000
0.500 0.500 0.500
0.000 0.000 0.000
```

Computed properties:
- theoretical density (g/cm³) = 2.9
- spin magnetization (μB per cell) = 0.0
- electronic total energy (eV/atom) = -6.341


Entry from Alexandria via LeMat-Bulk: a PBEsol-optimized structure of LaMoI2O (meta-GGA SCAN).

```
LaMoI2O
1.0
-3.898 1.366 0.983
1.299 -0.731 6.170
2.154 5.965 0.253
I Mo O La
2 1 1 1
direct
0.000 0.000 0.500
0.000 0.500 0.000
0.500 0.500 0.500
0.500 0.000 0.000
0.000 0.000 0.000
```

Computed properties:
- theoretical density (g/cm³) = 4.9
- spin magnetization (μB per cell) = 5.1
- electronic total energy (eV/atom) = -32.258


Entry from Alexandria via LeMat-Bulk: a PBEsol-optimized structure of ScCr2ReBi (meta-GGA SCAN).

```
ScCr2ReBi
1.0
4.718 0.000 0.000
0.000 4.640 0.000
0.000 0.000 4.640
Sc Re Bi Cr
1 1 1 2
direct
0.000 0.000 0.000
0.500 0.000 0.000
0.500 0.500 0.500
0.000 0.000 0.500
0.000 0.500 0.000
```

Computed properties:
- theoretical density (g/cm³) = 8.9
- energy of formation (eV/atom) = 1.66
- spin magnetization (μB per cell) = 7.3
- electronic total energy (eV/atom) = -38.474


Entry from Alexandria via LeMat-Bulk: a PBEsol-optimized structure of LaTeP2O (meta-GGA SCAN).

```
LaTeP2O
1.0
4.102 0.000 0.000
0.000 5.034 0.000
0.000 0.000 5.034
P Te O La
2 1 1 1
direct
0.000 0.000 0.500
0.000 0.500 0.000
0.000 0.000 0.000
0.500 0.000 0.000
0.500 0.500 0.500
```

Computed properties:
- theoretical density (g/cm³) = 5.5
- spin magnetization (μB per cell) = 0.0
- electronic total energy (eV/atom) = -22.059


Entry from Alexandria via LeMat-Bulk: a PBEsol-optimized structure of ZnCr (meta-GGA SCAN).

```
ZnCr
1.0
-2.551 -1.384 -0.349
0.778 -0.748 -2.717
2.390 -4.919 2.040
Cr Zn
2 2
direct
0.500 0.000 0.913
0.000 0.500 0.087
0.500 0.000 0.370
0.000 0.500 0.630
```

Computed properties:
- theoretical density (g/cm³) = 7.8
- energy of formation (eV/atom) = 0.12
- spin magnetization (μB per cell) = 0.0
- electronic total energy (eV/atom) = -15.833


Entry from Alexandria via LeMat-Bulk: a PBEsol-optimized structure of CsLi2FeSe (meta-GGA SCAN).

```
CsLi2FeSe
1.0
5.039 0.000 0.000
0.000 5.039 0.000
0.000 0.000 5.341
Cs Fe Se Li
1 1 1 2
direct
0.000 0.000 0.500
0.000 0.000 0.000
0.500 0.500 0.500
0.000 0.500 0.000
0.500 0.000 0.000
```

Computed properties:
- theoretical density (g/cm³) = 3.4
- spin magnetization (μB per cell) = 2.6
- electronic total energy (eV/atom) = -15.644


Entry from Alexandria via LeMat-Bulk: a PBEsol-optimized structure of TiAl2I (meta-GGA SCAN).

```
TiAl2I
1.0
-4.674 1.404 -0.049
-3.144 -1.870 3.231
-1.748 2.792 3.602
I Al Ti
1 2 1
direct
0.500 0.500 0.500
0.250 0.250 0.250
0.750 0.750 0.750
0.000 0.000 0.000
```

Computed properties:
- theoretical density (g/cm³) = 4.6
- spin magnetization (μB per cell) = 2.0
- electronic total energy (eV/atom) = -16.345


Entry from Alexandria via LeMat-Bulk: a PBEsol-optimized structure of Ti3ZnO (meta-GGA SCAN).

```
Ti3ZnO
1.0
4.053 0.000 0.000
0.000 4.053 0.000
0.000 0.000 4.053
Zn O Ti
1 1 3
direct
0.500 0.500 0.500
0.000 0.000 0.000
0.000 0.500 0.000
0.000 0.000 0.500
0.500 0.000 0.000
```

Computed properties:
- theoretical density (g/cm³) = 5.6
- spin magnetization (μB per cell) = 1.3
- electronic total energy (eV/atom) = -14.831


Entry from Alexandria via LeMat-Bulk: a PBEsol-optimized structure of CaCd2 (meta-GGA SCAN).

```
CaCd2
1.0
-0.799 0.415 3.513
0.543 -3.544 0.542
5.477 2.552 -0.928
Ca Cd
1 2
direct
0.000 0.000 0.000
0.318 0.318 0.637
0.682 0.682 0.363
```

Computed properties:
- theoretical density (g/cm³) = 6.0
- energy of formation (eV/atom) = -0.32
- spin magnetization (μB per cell) = 0.0
- electronic total energy (eV/atom) = -23.820


Entry from Alexandria via LeMat-Bulk: a PBEsol-optimized structure of TbSc3B4O12 (meta-GGA SCAN).

```
TbSc3B4O12
1.0
4.815 -0.002 0.002
-0.001 5.883 -0.018
0.016 1.981 7.370
Tb Sc B O
1 3 4 12
direct
0.000 0.000 0.000
0.500 0.500 0.500
0.000 0.000 0.500
0.500 0.500 0.000
0.497 0.996 0.741
0.002 0.493 0.254
0.503 0.004 0.259
0.998 0.507 0.746
0.211 0.997 0.736
0.714 0.505 0.251
0.144 0.353 0.400
0.627 0.848 0.888
0.650 0.147 0.606
0.152 0.626 0.109
0.789 0.003 0.264
0.286 0.495 0.749
0.856 0.647 0.600
0.373 0.152 0.112
0.350 0.853 0.394
0.848 0.374 0.891
```

Computed properties:
- theoretical density (g/cm³) = 4.2
- spin magnetization (μB per cell) = 0.0
- electronic total energy (eV/atom) = -13.020


Entry from Alexandria via LeMat-Bulk: a PBEsol-optimized structure of ReGeSbI2 (meta-GGA SCAN).

```
ReGeSbI2
1.0
5.401 0.000 0.000
0.000 5.401 0.000
0.000 0.000 5.496
I Re Ge Sb
2 1 1 1
direct
0.000 0.500 0.000
0.500 0.000 0.000
0.500 0.500 0.500
0.000 0.000 0.000
0.000 0.000 0.500
```

Computed properties:
- theoretical density (g/cm³) = 6.6
- spin magnetization (μB per cell) = 4.5
- electronic total energy (eV/atom) = -38.639


Entry from Alexandria via LeMat-Bulk: a PBEsol-optimized structure of PmZn2Ag (meta-GGA SCAN).

```
PmZn2Ag
1.0
4.716 0.000 0.000
2.358 4.084 0.000
2.358 1.361 3.850
Zn Ag Pm
2 1 1
direct
0.750 0.750 0.750
0.250 0.250 0.250
0.000 0.000 0.000
0.500 0.500 0.500
```

Computed properties:
- theoretical density (g/cm³) = 8.6
- energy of formation (eV/atom) = -0.32
- spin magnetization (μB per cell) = 0.0
- electronic total energy (eV/atom) = -25.913


Entry from Alexandria via LeMat-Bulk: a PBEsol-optimized structure of InIr2Cl (meta-GGA SCAN).

```
InIr2Cl
1.0
-0.845 -1.666 -4.005
3.625 -1.792 1.784
-3.250 -0.890 2.860
Cl Ir In
1 2 1
direct
0.000 0.500 0.500
0.000 0.000 0.000
0.500 0.250 0.750
0.500 0.750 0.250
```

Computed properties:
- theoretical density (g/cm³) = 13.4
- spin magnetization (μB per cell) = 0.0
- electronic total energy (eV/atom) = -45.132


Entry from Alexandria via LeMat-Bulk: a PBEsol-optimized structure of NiAgOs2 (meta-GGA SCAN).

```
NiAgOs2
1.0
2.721 0.000 0.000
0.000 3.737 0.000
0.000 0.000 5.430
Ag Ni Os
1 1 2
direct
0.000 0.000 0.516
0.500 0.500 0.754
0.000 0.000 0.009
0.500 0.500 0.221
```

Computed properties:
- theoretical density (g/cm³) = 16.4
- energy of formation (eV/atom) = 0.40
- spin magnetization (μB per cell) = 0.0
- electronic total energy (eV/atom) = -47.422


Entry from Alexandria via LeMat-Bulk: a PBEsol-optimized structure of YCoPb (meta-GGA SCAN).

```
YCoPb
1.0
4.692 0.000 0.000
2.346 4.064 0.000
2.346 1.355 3.831
Co Pb Y
1 1 1
direct
0.500 0.500 0.500
0.750 0.750 0.750
0.000 0.000 0.000
```

Computed properties:
- theoretical density (g/cm³) = 8.1
- energy of formation (eV/atom) = 0.03
- spin magnetization (μB per cell) = 2.0
- electronic total energy (eV/atom) = -40.281


Entry from Alexandria via LeMat-Bulk: a PBEsol-optimized structure of Mg2InNi (meta-GGA SCAN).

```
Mg2InNi
1.0
-1.421 -2.237 1.530
-1.169 -1.054 -2.626
6.035 -4.450 -0.901
Ni Mg In
1 2 1
direct
0.500 0.500 0.500
0.000 0.000 0.697
0.000 0.000 0.303
0.500 0.500 0.000
```

Computed properties:
- theoretical density (g/cm³) = 5.2
- energy of formation (eV/atom) = -0.17
- spin magnetization (μB per cell) = 0.0
- electronic total energy (eV/atom) = -15.047